The following is a PBE calculation of an optimized crystal structure of TlMoSeBr2, from Alexandria via LeMat-Bulk.

D(E_F)   3.8 states/eV/cell
SG   P4/mmm
Crystal system   tetragonal
Formation energy without anion corrections   0.785 eV/atom
Volume   170 Å³ per cell
Relative energy among the computed polymorphs   496 kJ/mol of formula units

abc: 5.5761 5.5761 5.4583
angles: 90.00 90.00 90.00
Sites, in units of the cell vectors:
1 Tl 0.0000 0.0000 0.0000
2 Mo 0.5000 0.5000 0.5000
3 Se 0.0000 0.0000 0.5000
4 Br 0.0000 0.5000 0.0000
5 Br 0.5000 0.0000 0.0000